DFT (PBE) results for a geometry-optimized Mg5In2Pb4 structure.

Summary:
Calculated formation energy in eV/atom: -0.03

Structure (POSCAR):
```
Mg5In2Pb4
1.0
-3.391 -0.439 0.773
-1.774 -0.218 -7.903
2.622 -20.317 -0.028
Mg In Pb
10 4 8
Direct
0.000 0.145 0.592
0.000 0.855 0.408
0.000 0.355 0.092
0.000 0.645 0.908
0.000 0.175 0.745
0.000 0.825 0.255
0.000 0.325 0.245
0.000 0.675 0.755
0.000 0.000 0.000
0.000 0.500 0.500
0.500 0.910 0.681
0.500 0.090 0.319
0.500 0.590 0.181
0.500 0.410 0.819
0.500 0.308 0.965
0.500 0.692 0.035
0.500 0.192 0.465
0.500 0.808 0.535
0.500 0.461 0.645
0.500 0.539 0.355
0.500 0.039 0.145
0.500 0.961 0.855
```

---

DFT (PBE) results for a geometry-optimized MgIn4Pb3 structure.

Summary:
Calculated formation energy in eV/atom: 0.04

Structure (POSCAR):
```
MgIn4Pb3
1.0
5.145 0.000 -1.815
-0.544 5.346 -1.543
0.060 -0.424 8.369
Pb Mg In
3 1 4
Direct
0.000 0.500 0.000
0.874 0.875 0.748
0.126 0.125 0.252
0.500 0.000 0.000
0.747 0.247 0.494
0.253 0.753 0.506
0.373 0.373 0.747
0.627 0.627 0.253
```

---

DFT (PBE) results for a geometry-optimized MgIn5Pb4 structure.

Summary:
Calculated formation energy in eV/atom: 0.02

Structure (POSCAR):
```
MgIn5Pb4
1.0
3.923 0.000 0.000
0.000 3.923 0.000
0.000 0.000 18.479
Mg In Pb
1 5 4
Direct
0.000 0.000 0.000
0.500 0.500 0.088
0.500 0.500 0.295
0.500 0.500 0.500
0.500 0.500 0.705
0.500 0.500 0.912
0.000 0.000 0.187
0.000 0.000 0.397
0.000 0.000 0.603
0.000 0.000 0.813
```

---

DFT (PBE) results for a geometry-optimized Mg8In3Pb2 structure.

Summary:
Calculated formation energy in eV/atom: 0.04

Structure (POSCAR):
```
Mg8In3Pb2
1.0
-3.851 0.949 3.901
4.098 -5.193 5.309
3.370 8.198 -1.358
Mg In Pb
8 3 2
Direct
0.095 0.612 0.224
0.905 0.388 0.776
0.927 0.157 0.314
0.073 0.843 0.686
0.576 0.660 0.692
0.576 0.032 0.692
0.424 0.968 0.308
0.424 0.340 0.308
0.500 0.000 0.000
0.000 0.206 0.000
0.000 0.794 0.000
0.341 0.313 0.626
0.659 0.687 0.374
```

---

DFT (PBE) results for a geometry-optimized MgIn2Pb8 structure.

Summary:
Offset from the most stable computed form in eV per formula unit: 0.30
Calculated formation energy in eV/atom: 0.06

Structure (POSCAR):
```
MgIn2Pb8
1.0
-3.761 1.827 2.704
2.689 -4.392 6.673
4.000 7.401 0.529
Mg In Pb
1 2 8
Direct
0.500 0.000 0.000
0.000 0.382 0.618
0.000 0.618 0.382
0.999 0.958 0.695
0.999 0.695 0.958
0.498 0.673 0.673
0.500 0.764 0.236
0.500 0.236 0.764
0.502 0.327 0.327
0.001 0.305 0.042
0.001 0.042 0.305
```

---

DFT (PBE) results for a geometry-optimized Mg8In3Pb structure.

Summary:
Calculated formation energy in eV/atom: 0.02

Structure (POSCAR):
```
Mg8In3Pb
1.0
8.261 0.000 -0.672
-5.199 4.845 4.439
-2.137 0.000 8.206
Mg In Pb
8 3 1
Direct
0.219 0.000 0.685
0.381 0.538 0.577
0.843 0.462 0.116
0.621 0.000 0.848
0.829 0.000 0.585
0.656 0.541 0.338
0.115 0.459 0.879
0.386 0.000 0.102
0.763 0.524 0.711
0.239 0.476 0.235
0.440 0.000 0.465
0.009 0.000 0.959
```

---

DFT (PBE) results for a geometry-optimized Mg6In8Pb structure.

Summary:
Calculated formation energy in eV/atom: -0.01

Structure (POSCAR):
```
Mg6In8Pb
1.0
7.874 0.000 2.760
3.453 7.076 2.760
1.675 1.046 7.832
Mg In Pb
6 8 1
Direct
0.900 0.626 0.142
0.668 0.100 0.858
0.374 0.668 0.858
0.626 0.332 0.142
0.332 0.900 0.142
0.100 0.374 0.858
0.810 0.448 0.624
0.881 0.190 0.376
0.552 0.881 0.376
0.284 0.284 0.147
0.716 0.716 0.853
0.448 0.119 0.624
0.119 0.810 0.624
0.190 0.552 0.376
0.000 0.000 0.000
```

---

DFT (PBE) results for a geometry-optimized Mg2InPb5 structure.

Summary:
Offset from the most stable computed form in eV per formula unit: 0.14
Calculated formation energy in eV/atom: 0.02

Structure (POSCAR):
```
Mg2InPb5
1.0
-6.273 -2.374 4.415
4.715 -0.395 6.487
-0.741 8.228 -3.930
Mg In Pb
4 2 10
Direct
0.142 0.358 0.000
0.642 0.142 0.000
0.358 0.858 0.000
0.858 0.642 0.000
0.750 0.750 0.500
0.250 0.250 0.500
0.495 0.691 0.686
0.809 0.005 0.314
0.000 0.000 0.000
0.500 0.500 0.000
0.191 0.995 0.686
0.691 0.191 0.686
0.995 0.495 0.686
0.309 0.809 0.314
0.005 0.505 0.314
0.505 0.309 0.314
```

---

DFT (PBE) results for a geometry-optimized MgIn3Pb3 structure.

Summary:
Offset from the most stable computed form in eV per formula unit: 0.00
Calculated formation energy in eV/atom: 0.01

Structure (POSCAR):
```
MgIn3Pb3
1.0
5.546 0.000 0.000
0.000 9.089 0.000
0.000 -4.545 7.871
Mg In Pb
2 6 6
Direct
0.250 0.667 0.333
0.750 0.333 0.667
0.750 0.610 0.509
0.750 0.491 0.101
0.750 0.899 0.390
0.250 0.390 0.491
0.250 0.509 0.899
0.250 0.101 0.610
0.250 0.816 0.740
0.250 0.260 0.076
0.250 0.924 0.184
0.750 0.184 0.260
0.750 0.740 0.924
0.750 0.076 0.816
```

---

DFT (PBE) results for a geometry-optimized MgIn3Pb3 structure.

Summary:
Offset from the most stable computed form in eV per formula unit: 0.04
Calculated formation energy in eV/atom: 0.01

Structure (POSCAR):
```
MgIn3Pb3
1.0
7.310 0.012 2.357
1.720 7.105 2.357
0.015 0.012 7.681
Mg In Pb
2 6 6
Direct
0.248 0.248 0.248
0.752 0.752 0.752
0.679 0.097 0.964
0.097 0.964 0.679
0.964 0.679 0.097
0.036 0.321 0.903
0.903 0.036 0.321
0.321 0.903 0.036
0.610 0.464 0.173
0.173 0.610 0.464
0.464 0.173 0.610
0.536 0.827 0.390
0.827 0.390 0.536
0.390 0.536 0.827
```

---

DFT (PBE) results for a geometry-optimized Mg8In3Pb3 structure.

Summary:
Calculated formation energy in eV/atom: 0.03

Structure (POSCAR):
```
Mg8In3Pb3
1.0
-0.743 -2.495 -4.274
-7.003 -3.879 3.365
-5.676 6.019 -2.642
Mg In Pb
8 3 3
Direct
0.505 0.107 0.641
0.495 0.893 0.359
0.504 0.641 0.107
0.496 0.359 0.893
0.993 0.832 0.567
0.007 0.168 0.433
0.993 0.567 0.832
0.007 0.433 0.168
0.500 0.000 0.000
0.000 0.778 0.222
0.000 0.222 0.778
0.500 0.500 0.500
0.509 0.242 0.242
0.491 0.758 0.758
```

---

DFT (PBE) results for a geometry-optimized Mg3InPb6 structure.

Summary:
Calculated formation energy in eV/atom: -0.03

Structure (POSCAR):
```
Mg3InPb6
1.0
4.892 0.000 0.000
0.000 10.287 -1.847
0.000 1.254 10.940
Mg In Pb
6 2 12
Direct
0.250 0.548 0.394
0.750 0.452 0.606
0.250 0.354 0.814
0.750 0.646 0.186
0.250 0.748 0.984
0.750 0.252 0.016
0.250 0.954 0.591
0.750 0.046 0.409
0.250 0.458 0.101
0.750 0.542 0.899
0.250 0.150 0.210
0.750 0.850 0.790
0.250 0.634 0.688
0.750 0.366 0.312
0.250 0.270 0.518
0.750 0.730 0.482
0.250 0.829 0.281
0.750 0.171 0.719
0.250 0.061 0.906
0.750 0.939 0.094
```

---

DFT (PBE) results for a geometry-optimized PmMg2InPb structure.

Summary:
Calculated formation energy in eV/atom: -0.14

Structure (POSCAR):
```
PmMg2InPb
1.0
3.636 0.000 0.000
-1.818 8.887 0.000
0.000 0.000 9.032
Pm Mg In Pb
2 4 2 2
Direct
0.413 0.826 0.750
0.587 0.174 0.250
0.164 0.329 0.950
0.836 0.671 0.050
0.164 0.329 0.550
0.836 0.671 0.450
0.000 0.000 0.000
0.000 0.000 0.500
0.752 0.503 0.750
0.248 0.497 0.250
```

---

DFT (PBE) results for a geometry-optimized PmMgInPb structure.

Summary:
Offset from the most stable computed form in eV per formula unit: 0.65
Calculated formation energy in eV/atom: -0.24

Structure (POSCAR):
```
PmMgInPb
1.0
5.370 0.000 0.000
2.685 4.651 0.000
2.685 1.550 4.385
Pb Mg In Pm
1 1 1 1
Direct
0.500 0.500 0.500
0.750 0.750 0.750
0.000 0.000 0.000
0.250 0.250 0.250
```

---

DFT (PBE) results for a geometry-optimized PmMgInPb structure.

Summary:
Offset from the most stable computed form in eV per formula unit: 0.00
Calculated formation energy in eV/atom: -0.41

Structure (POSCAR):
```
PmMgInPb
1.0
4.556 0.000 0.000
0.000 4.757 0.000
0.000 0.000 4.895
Pm Mg In Pb
1 1 1 1
Direct
0.000 0.500 0.500
0.000 0.000 0.000
0.500 0.500 0.000
0.500 0.000 0.500
```

---

DFT (PBE) results for a geometry-optimized PrMg2InPb structure.

Summary:
Calculated formation energy in eV/atom: -0.25

Structure (POSCAR):
```
PrMg2InPb
1.0
4.797 0.000 0.000
-2.399 5.698 0.000
0.000 0.000 9.846
Pr Mg In Pb
2 4 2 2
Direct
0.553 0.105 0.750
0.447 0.895 0.250
0.267 0.534 0.915
0.733 0.466 0.085
0.267 0.534 0.585
0.733 0.466 0.415
0.000 0.000 0.000
0.000 0.000 0.500
0.835 0.669 0.750
0.165 0.331 0.250
```

---

DFT (PBE) results for a geometry-optimized PrMgInPb structure.

Summary:
Offset from the most stable computed form in eV per formula unit: 0.00
Calculated formation energy in eV/atom: -0.41

Structure (POSCAR):
```
PrMgInPb
1.0
4.604 0.000 0.000
0.000 4.797 0.000
0.000 0.000 4.929
Pr Mg In Pb
1 1 1 1
Direct
0.000 0.500 0.500
0.000 0.000 0.000
0.500 0.500 0.000
0.500 0.000 0.500
```

---

DFT (PBE) results for a geometry-optimized PrMgInPb structure.

Summary:
Offset from the most stable computed form in eV per formula unit: 0.64
Calculated formation energy in eV/atom: -0.26

Structure (POSCAR):
```
PrMgInPb
1.0
-2.284 0.913 4.816
-4.523 -2.619 1.388
0.151 -3.814 3.830
Pb Pr Mg In
1 1 1 1
Direct
0.500 0.500 0.500
0.250 0.250 0.250
0.750 0.750 0.750
0.000 0.000 0.000
```

---

DFT (PBE) results for a geometry-optimized Mg2InPtPb structure.

Summary:
Calculated formation energy in eV/atom: -0.25

Structure (POSCAR):
```
Mg2InPtPb
1.0
5.060 0.000 0.000
0.000 5.152 0.000
0.000 0.000 5.060
Pb Mg Pt In
1 2 1 1
Direct
0.500 0.500 0.500
0.000 0.000 0.500
0.500 0.000 0.000
0.000 0.000 0.000
0.000 0.500 0.000
```

---

DFT (PBE) results for a geometry-optimized MgIn2PtPb structure.

Summary:
Offset from the most stable computed form in eV per formula unit: 3.82
Calculated formation energy in eV/atom: 0.60

Structure (POSCAR):
```
MgIn2PtPb
1.0
5.828 0.000 0.000
0.000 5.133 0.000
0.000 0.000 5.828
Pb Mg Pt In
1 1 1 2
Direct
0.000 0.000 0.000
0.500 0.500 0.500
0.000 0.500 0.000
0.000 0.000 0.500
0.500 0.000 0.000
```